--- P ---
Material: NiPtBr
Method: DFT, GGA-PBE
State: optimized geometry

Structure (extended XYZ):
```
3
Lattice="-1.351 -4.031 0.412 2.321 -3.205 -1.608 2.045 -2.681 2.622" Properties=species:S:1:pos:R:3 pbc="T T T"
Pt 0.000 0.000 0.000
Br 1.507 -4.958 0.713
Ni 2.260 -7.438 1.070
```

Results
Space-group type ... F-43m, No. 216
Crystal system ... cubic

=====

--- Q ---
Material: NiPtBr
Method: DFT, GGA-PBE
State: optimized geometry

Structure (extended XYZ):
```
3
Lattice="-2.110 1.411 -2.179 2.878 -1.323 -1.076 -2.436 -4.727 -0.701" Properties=species:S:1:pos:R:3 pbc="T T T"
Pt -0.301 -3.353 -1.880
Br -0.113 -0.219 -0.033
Ni -1.255 -1.067 -2.044
```

Results
Space-group type ... P3m1, No. 156
Crystal system ... trigonal

=====

Computed relative energies in units of meV per atom: P 338; Q 0

=====

--- P ---
Material: RbNi3Br
Method: DFT, GGA-PBE
State: optimized geometry

Structure (extended XYZ):
```
5
Lattice="-3.310 -1.044 -3.501 -2.625 -2.606 3.259 -2.541 4.052 1.194" Properties=species:S:1:pos:R:3 pbc="T T T"
Ni -1.271 2.026 0.597
Ni -1.312 -1.303 1.629
Rb 0.000 0.000 0.000
Br -4.238 0.201 0.476
Ni -1.655 -0.522 -1.751
```

Results
Space-group type ... Pm-3m, No. 221
Crystal system ... cubic

=====

--- Q ---
Material: RbNi3Br
Method: DFT, GGA-PBE
State: optimized geometry

Structure (extended XYZ):
```
5
Lattice="4.621 0.000 0.000 0.000 4.621 0.000 0.000 0.000 4.621" Properties=species:S:1:pos:R:3 pbc="T T T"
Br 0.000 0.000 0.000
Ni 0.000 0.000 2.311
Ni 2.311 0.000 0.000
Rb 2.311 2.311 2.311
Ni 0.000 2.311 0.000
```

Results
Space-group type ... Pm-3m, No. 221
Crystal system ... cubic

=====

Computed relative energies in units of meV per atom: P 1230; Q 0

=====

--- P ---
Material: Rb2NiSnBr6
Method: DFT, GGA-PBE
State: optimized geometry

Structure (extended XYZ):
```
10
Lattice="-3.279 6.736 -1.935 -2.969 0.600 7.119 1.350 6.317 4.235" Properties=species:S:1:pos:R:3 pbc="T T T"
Ni -3.124 3.668 2.592
Br -3.197 5.114 0.459
Rb -2.527 8.360 2.446
Br -3.051 2.222 4.726
Sn 0.000 0.000 0.000
Rb -2.372 5.292 6.973
Br -1.021 4.913 3.364
Br -4.597 5.396 3.814
Br -3.878 8.739 6.055
Br -1.652 1.939 1.371
```

Results
Space-group type ... I4/mmm, No. 139
Crystal system ... tetragonal

=====

--- Q ---
Material: Rb2NiSnBr6
Method: DFT, GGA-PBE
State: optimized geometry

Structure (extended XYZ):
```
10
Lattice="-2.524 4.994 -0.240 -3.858 -1.774 3.653 6.101 3.475 8.132" Properties=species:S:1:pos:R:3 pbc="T T T"
Br 1.262 4.146 7.641
Br 1.122 0.850 5.892
Br -1.262 2.497 -0.120
Br -1.543 2.549 3.903
Rb 1.743 0.993 2.323
Ni -0.141 3.347 5.772
Br 1.788 4.234 3.946
Br -1.929 -0.887 1.826
Sn -3.191 1.610 1.706
Rb 4.358 2.482 5.809
```

Results
Space-group type ... P4/mmm, No. 123
Crystal system ... tetragonal

=====

Computed relative energies in units of meV per atom: P 0; Q 35

=====

--- P ---
Material: ReNiBr
Method: DFT, GGA-PBE
State: optimized geometry

Structure (extended XYZ):
```
3
Lattice="-5.983 -0.525 3.793 -5.146 2.247 3.838 -2.113 -0.848 -1.791" Properties=species:S:1:pos:R:3 pbc="T T T"
Ni -8.179 0.881 4.548
Br -2.187 -0.827 -1.713
Re -4.990 -0.028 1.215
```

Results
Space-group type ... Fmm2, No. 42
Crystal system ... orthorhombic

=====

--- Q ---
Material: ReNiBr
Method: DFT, GGA-PBE
State: optimized geometry

Structure (extended XYZ):
```
3
Lattice="4.177 0.000 0.000 2.088 3.617 0.000 2.088 1.206 3.410" Properties=species:S:1:pos:R:3 pbc="T T T"
Re 6.265 3.617 2.558
Ni 4.177 2.411 1.705
Br 0.000 0.000 0.000
```

Results
Space-group type ... F-43m, No. 216
Crystal system ... cubic

=====

--- R ---
Material: ReNiBr
Method: DFT, GGA-PBE
State: optimized geometry

Structure (extended XYZ):
```
3
Lattice="6.671 0.063 0.000 5.344 3.993 0.000 -6.007 -2.028 2.074" Properties=species:S:1:pos:R:3 pbc="T T T"
Re 8.149 2.751 0.000
Br 0.390 0.132 0.000
Ni 3.475 1.173 0.000
```

Results
Space-group type ... I4mm, No. 107
Crystal system ... tetragonal

=====

Computed relative energies in units of meV per atom: P 123; Q 343; R 0

=====

--- P ---
Material: ReNiBr
Method: DFT, GGA-PBE
State: optimized geometry

Structure (extended XYZ):
```
3
Lattice="4.080 0.000 0.000 2.040 3.534 0.000 2.040 1.178 3.332" Properties=species:S:1:pos:R:3 pbc="T T T"
Re 4.080 2.356 1.666
Ni 0.000 0.000 0.000
Br 6.120 3.534 2.499
```

Results
Space-group type ... F-43m, No. 216
Crystal system ... cubic

=====

--- Q ---
Material: ReNiBr
Method: DFT, GGA-PBE
State: optimized geometry

Structure (extended XYZ):
```
3
Lattice="4.325 0.000 0.000 -2.162 3.745 0.000 0.000 0.000 2.833" Properties=species:S:1:pos:R:3 pbc="T T T"
Ni 2.162 1.248 0.942
Br 0.000 0.000 2.364
Re 0.000 2.497 2.360
```

Results
Space-group type ... P3m1, No. 156
Crystal system ... trigonal

=====

--- R ---
Material: ReNiBr
Method: DFT, GGA-PBE
State: optimized geometry

Structure (extended XYZ):
```
3
Lattice="-0.057 2.555 1.535 -2.547 -1.409 -0.644 0.408 -3.110 5.189" Properties=species:S:1:pos:R:3 pbc="T T T"
Ni -0.745 0.151 2.616
Re -1.451 -2.112 3.461
Br 0.000 -0.003 0.005
```

Results
Space-group type ... P3m1, No. 156
Crystal system ... trigonal

=====

Computed relative energies in units of meV per atom: P 852; Q 404; R 0

=====

--- P ---
Material: ReNi3Br
Method: DFT, GGA-PBE
State: optimized geometry

Structure (extended XYZ):
```
5
Lattice="4.312 0.000 0.000 0.000 4.312 0.000 0.000 0.000 4.312" Properties=species:S:1:pos:R:3 pbc="T T T"
Ni 0.000 0.000 2.156
Ni 2.156 0.000 0.000
Re 2.156 2.156 2.156
Br 0.000 0.000 0.000
Ni 0.000 2.156 0.000
```

Results
Space-group type ... Pm-3m, No. 221
Crystal system ... cubic

=====

--- Q ---
Material: ReNi3Br
Method: DFT, GGA-PBE
State: optimized geometry

Structure (extended XYZ):
```
5
Lattice="-0.266 4.523 0.709 -3.900 0.148 -2.407 -2.397 -0.743 3.838" Properties=species:S:1:pos:R:3 pbc="T T T"
Ni -1.199 -0.372 1.919
Re 0.000 0.000 0.000
Br -3.282 1.964 1.070
Ni -0.133 2.261 0.355
Ni -1.950 0.074 -1.204
```

Results
Space-group type ... Pm-3m, No. 221
Crystal system ... cubic

=====

Computed relative energies in units of meV per atom: P 90; Q 0

=====

--- P ---
Material: ReNiSeBr2
Method: DFT, GGA-PBE
State: optimized geometry

Structure (extended XYZ):
```
5
Lattice="-4.633 1.963 -1.021 -1.397 -0.759 4.882 1.534 4.188 1.090" Properties=species:S:1:pos:R:3 pbc="T T T"
Ni -2.248 2.696 2.475
Br -2.316 0.981 -0.511
Br -0.699 -0.380 2.441
Se 0.767 2.094 0.545
Re 0.000 0.000 0.000
```

Results
Space-group type ... P4/mmm, No. 123
Crystal system ... tetragonal

=====

--- Q ---
Material: ReNiSeBr2
Method: DFT, GGA-PBE
State: optimized geometry

Structure (extended XYZ):
```
5
Lattice="4.742 0.000 0.000 0.000 4.742 0.000 0.000 0.000 5.073" Properties=species:S:1:pos:R:3 pbc="T T T"
Re 2.371 2.371 2.537
Se 0.000 0.000 2.537
Br 0.000 2.371 0.000
Br 2.371 0.000 0.000
Ni 0.000 0.000 0.000
```

Results
Space-group type ... P4/mmm, No. 123
Crystal system ... tetragonal

=====

Computed relative energies in units of meV per atom: P 0; Q 83

=====

--- P ---
Material: NiRhBr2
Method: DFT, GGA-PBE
State: optimized geometry

Structure (extended XYZ):
```
4
Lattice="7.777 -0.545 -1.113 -4.341 4.168 0.421 -0.905 1.400 2.858" Properties=species:S:1:pos:R:3 pbc="T T T"
Rh 1.718 1.811 -0.346
Br 0.000 0.000 0.000
Br 3.436 0.427 0.873
Ni -2.623 2.784 1.640
```

Results
Space-group type ... Cmmm, No. 65
Crystal system ... orthorhombic

=====

--- Q ---
Material: NiRhBr2
Method: DFT, GGA-PBE
State: optimized geometry

Structure (extended XYZ):
```
4
Lattice="4.016 0.298 0.037 2.430 3.210 0.037 1.907 1.038 6.344" Properties=species:S:1:pos:R:3 pbc="T T T"
Br 6.019 3.276 0.105
Ni 2.088 1.136 1.604
Rh 6.265 3.409 4.813
Br 4.603 2.505 3.177
```

Results
Space-group type ... C2/m, No. 12
Crystal system ... monoclinic

=====

Computed relative energies in units of meV per atom: P 131; Q 0